Entry 1:
Density functional theory data (PBE) for a geometry-optimized Er5Cd6In structure.

## Properties
Its density of states at the Fermi level is 8.40 states/eV/f.u.

abc: 16.386 7.513 5.137
angles: 90.00 107.89 90.00
Space group C2/m (No. 12)
Unique sites:
1 Er 0.000 0.000 0.000 [2 per cell]
2 Er 0.160 0.500 0.661 [4 per cell]
3 Er 0.170 0.000 0.670 [4 per cell]
4 Cd 0.000 0.246 0.500 [4 per cell]
5 Cd 0.167 0.251 0.167 [8 per cell]
6 In 0.000 0.500 0.000 [2 per cell]


Entry 2:
Density functional theory data (PBE) for a geometry-optimized Er12Cd2In5 structure.

## Properties
Its density of states at the Fermi level is 18.98 states/eV/f.u.

abc: 17.107 7.130 9.096
angles: 90.00 98.70 90.00
Space group C2/m (No. 12)
Unique sites:
1 Er 0.009 0.000 0.186 [4 per cell]
2 Er 0.043 0.500 0.695 [4 per cell]
3 Er 0.151 0.247 0.008 [8 per cell]
4 Er 0.160 0.260 0.416 [8 per cell]
5 Cd 0.000 0.183 0.500 [4 per cell]
6 In 0.000 0.500 0.000 [2 per cell]
7 In 0.197 0.000 0.732 [4 per cell]
8 In 0.229 0.500 0.747 [4 per cell]


Entry 3:
Density functional theory data (PBE) for a geometry-optimized Er11Cd4In9 structure.

## Properties
Its density of states at the Fermi level is 14.02 states/eV/f.u.

abc: 14.905 22.259 3.720
angles: 90.00 90.00 90.00
Space group Cmmm (No. 65)
Unique sites:
1 Er 0.000 0.000 0.000 [2 per cell]
2 Er 0.000 0.164 0.000 [4 per cell]
3 Er 0.000 0.361 0.000 [4 per cell]
4 Er 0.229 0.500 0.000 [4 per cell]
5 Er 0.234 0.175 0.000 [8 per cell]
6 Cd 0.151 0.404 0.500 [8 per cell]
7 In 0.000 0.500 0.500 [2 per cell]
8 In 0.109 0.262 0.500 [8 per cell]
9 In 0.131 0.079 0.500 [8 per cell]


Entry 4:
Density functional theory data (PBE) for a geometry-optimized ErCdIn structure.

## Properties
Its density of states at the Fermi level is 0.98 states/eV/f.u.

abc: 4.8552 4.8552 7.3690
angles: 90.00 90.00 120.00
Space group P-3m1 (No. 164)
Unique sites:
1 Er 0.0000 0.0000 0.2372 [2 per cell]
2 Cd 0.3333 0.6667 0.9749 [2 per cell]
3 In 0.3333 0.6667 0.5545 [2 per cell]


Entry 5:
Density functional theory data (PBE) for a geometry-optimized ErCd4In structure.

## Properties
The offset from the most stable computed form is 0 meV per atom. Its density of states at the Fermi level is 2.50 states/eV/f.u.

abc: 5.019 5.019 6.559
angles: 89.70 89.56 60.00
Space group P-1 (No. 2)
Unique sites:
1 Er 0.000 0.000 0.000 [1 per cell]
2 Cd 0.332 0.333 0.239 [2 per cell]
3 Cd 0.335 0.334 0.761 [2 per cell]
4 In 0.000 0.000 0.500 [1 per cell]


Entry 6:
Density functional theory data (PBE) for a geometry-optimized Er4Cd2In5 structure.

## Properties
Its density of states at the Fermi level is 7.79 states/eV/f.u.

abc: 7.945 3.457 10.200
angles: 90.00 94.65 90.00
Space group P2/m (No. 10)
Unique sites:
1 Er 0.174 0.000 0.389 [2 per cell]
2 Er 0.280 0.000 0.938 [2 per cell]
3 Cd 0.062 0.500 0.134 [2 per cell]
4 In 0.183 0.500 0.664 [2 per cell]
5 In 0.436 0.500 0.198 [2 per cell]
6 In 0.500 0.500 0.500 [1 per cell]


Entry 7:
Density functional theory data (PBE) for a geometry-optimized ErCdIn structure.

## Properties
Its density of states at the Fermi level is 0.89 states/eV/f.u.

abc: 6.862 6.862 6.862
angles: 90.00 90.00 90.00
Space group F-43m (No. 216)
Unique sites:
1 Er 0.000 0.000 0.000 [4 per cell]
2 Cd 0.250 0.250 0.250 [4 per cell]
3 In 0.000 0.000 0.500 [4 per cell]


Entry 8:
Density functional theory data (PBE) for a geometry-optimized Er2Cd3In3 structure.

## Properties
Its density of states at the Fermi level is 3.05 states/eV/f.u.

abc: 4.556 4.642 9.026
angles: 90.00 90.00 90.00
Space group Pmmm (No. 47)
Unique sites:
1 Er 0.000 0.000 0.249 [2 per cell]
2 Cd 0.000 0.500 0.500 [1 per cell]
3 Cd 0.500 0.500 0.255 [2 per cell]
4 In 0.000 0.500 0.000 [1 per cell]
5 In 0.500 0.000 0.000 [1 per cell]
6 In 0.500 0.000 0.500 [1 per cell]


Entry 9:
Density functional theory data (PBE) for a geometry-optimized ErCd11In structure.

## Properties
Its density of states at the Fermi level is 3.37 states/eV/f.u.

abc: 5.999 14.176 7.662
angles: 90.00 112.68 90.00
Space group C2/m (No. 12)
Unique sites:
1 Er 0.000 0.000 0.000 [2 per cell]
2 Cd 0.000 0.000 0.500 [2 per cell]
3 Cd 0.113 0.395 0.208 [8 per cell]
4 Cd 0.172 0.177 0.350 [8 per cell]
5 Cd 0.250 0.250 0.000 [4 per cell]
6 In 0.000 0.500 0.500 [2 per cell]


Entry 10:
Density functional theory data (PBE) for a geometry-optimized ErCdIn2 structure.

## Properties
The offset from the most stable computed form is 202 meV per atom. Its density of states at the Fermi level is 2.18 states/eV/f.u.

abc: 7.376 7.376 7.376
angles: 90.00 90.00 90.00
Space group Fm-3m (No. 225)
Unique sites:
1 Er 0.000 0.000 0.000 [4 per cell]
2 Cd 0.000 0.000 0.500 [4 per cell]
3 In 0.250 0.250 0.250 [8 per cell]


Entry 11:
Density functional theory data (PBE) for a geometry-optimized ErCd3In structure.

## Properties
The offset from the most stable computed form is 0 meV per atom. Its density of states at the Fermi level is 2.83 states/eV/f.u.

abc: 5.983 6.253 7.682
angles: 75.36 75.98 64.41
Space group P-1 (No. 2)
Unique sites:
1 Er 0.175 0.161 0.382 [2 per cell]
2 Cd 0.000 0.500 0.000 [1 per cell]
3 Cd 0.188 0.698 0.234 [2 per cell]
4 Cd 0.347 0.359 0.635 [2 per cell]
5 Cd 0.500 0.000 0.000 [1 per cell]
6 In 0.289 0.813 0.777 [2 per cell]


Entry 12:
Density functional theory data (PBE) for a geometry-optimized ErCdIn structure.

## Properties
Its density of states at the Fermi level is 2.09 states/eV/f.u.

abc: 4.280 4.280 17.507
angles: 90.00 90.00 90.00
Space group I-4m2 (No. 119)
Unique sites:
1 Er 0.000 0.000 0.000 [2 per cell]
2 Er 0.000 0.500 0.250 [2 per cell]
3 Cd 0.000 0.500 0.673 [4 per cell]
4 In 0.000 0.000 0.421 [4 per cell]


no.,calculated formation energy (eV per formula unit),size of the total moment (μB/cell),E_tot (eV per cell)
1,-3.42,0.00,-68.92
2,-2.62,0.00,-145.80
3,-8.84,0.00,-174.67
4,-1.07,0.00,-18.57
5,-1.14,0.00,-12.10
6,-3.87,0.00,-37.64
7,-0.73,0.00,-35.77
8,-2.67,0.00,-22.76
9,-0.38,0.00,-35.49
10,-0.63,0.00,-46.34
11,-0.71,0.00,-21.51
12,-0.45,0.00,-34.66